Entry 1:
Material: Mg5AlTl4
Method: DFT, PBE
State: optimized geometry

Lattice parameters (Å, degrees): 3.5811 3.5811 18.5663 90.00 90.00 90.00
Sites, in units of the cell vectors:
Mg  0.0000  0.0000  0.0000
Mg  0.0000  0.0000  0.2084
Mg  0.0000  0.0000  0.4136
Mg  0.0000  0.0000  0.5864
Mg  0.0000  0.0000  0.7916
Al  0.5000  0.5000  0.5000
Tl  0.5000  0.5000  0.1043
Tl  0.5000  0.5000  0.3114
Tl  0.5000  0.5000  0.6886
Tl  0.5000  0.5000  0.8957



Entry 2:
Material: Mg12Al2Tl5
Method: DFT, PBE
State: optimized geometry

Lattice parameters (Å, degrees): 8.3051 8.3051 7.4300 90.39 90.39 62.04
Sites, in units of the cell vectors:
Mg  0.0562  0.0562  0.1822
Mg  0.0836  0.6802  0.1543
Mg  0.1671  0.5386  0.7320
Mg  0.3198  0.9164  0.8457
Mg  0.4160  0.4160  0.3825
Mg  0.4614  0.8329  0.2680
Mg  0.5386  0.1671  0.7320
Mg  0.5840  0.5840  0.6175
Mg  0.6802  0.0836  0.1543
Mg  0.8329  0.4614  0.2680
Mg  0.9164  0.3198  0.8457
Mg  0.9438  0.9438  0.8178
Al  0.1802  0.8198  0.5000
Al  0.8198  0.1802  0.5000
Tl  0.1985  0.1985  0.5159
Tl  0.2614  0.2614  0.0705
Tl  0.5000  0.5000  0.0000
Tl  0.7386  0.7386  0.9295
Tl  0.8015  0.8015  0.4841



Entry 3:
Material: MgAlTl
Method: DFT, PBE
State: optimized geometry

Lattice parameters (Å, degrees): 5.0011 5.0011 3.1484 90.00 90.00 120.00
Sites, in units of the cell vectors:
Mg  0.0000  0.0000  0.0000
Al  0.3333  0.6667  0.4976
Tl  0.6667  0.3333  0.5004



Entry 4:
Material: MgAlTl3
Method: DFT, PBE
State: optimized geometry

Lattice parameters (Å, degrees): 5.4435 5.4435 5.4435 90.00 90.00 90.00
Sites, in units of the cell vectors:
Mg  0.0000  0.0000  0.0000
Al  0.5000  0.5000  0.5000
Tl  0.0000  0.5000  0.5000
Tl  0.5000  0.0000  0.5000
Tl  0.5000  0.5000  0.0000

## Properties
distance to the lowest polymorph of the same formula	0.0	meV per atom



Entry 5:
Material: MgAlTl
Method: DFT, PBE
State: optimized geometry

Lattice parameters (Å, degrees): 6.8188 6.8188 6.8188 152.25 152.25 39.65
Sites, in units of the cell vectors:
Mg  0.0000  0.0000  0.0000
Al  0.3537  0.3537  0.0000
Tl  0.6840  0.6840  0.0000



Entry 6:
Material: Mg16Al12Tl
Method: DFT, PBE
State: optimized geometry

Lattice parameters (Å, degrees): 9.1279 9.1279 9.1210 109.28 109.28 109.13
Sites, in units of the cell vectors:
Mg  0.0000  0.0000  0.0000
Mg  0.9999  0.4019  0.0273
Mg  0.0016  0.0016  0.3446
Mg  0.0039  0.6555  0.3498
Mg  0.0072  0.6890  0.7441
Mg  0.2875  0.5993  0.9434
Mg  0.3138  0.3138  0.0560
Mg  0.3210  0.7152  0.6628
Mg  0.3427  0.3427  0.6791
Mg  0.3970  0.6805  0.3414
Mg  0.4019  0.9999  0.0273
Mg  0.5993  0.2875  0.9434
Mg  0.6555  0.0039  0.3498
Mg  0.6805  0.3970  0.3414
Mg  0.6890  0.0072  0.7441
Mg  0.7152  0.3210  0.6628
Al  0.0029  0.1899  0.7107
Al  0.1767  0.3601  0.3347
Al  0.1820  0.8120  0.1568
Al  0.1899  0.0029  0.7107
Al  0.3601  0.1767  0.3347
Al  0.3694  0.9992  0.5270
Al  0.6331  0.6331  0.1680
Al  0.6364  0.8249  0.9910
Al  0.8120  0.1820  0.1568
Al  0.8249  0.6364  0.9910
Al  0.8263  0.8263  0.5259
Al  0.9992  0.3694  0.5270
Tl  0.6104  0.6104  0.6356

## Properties
distance to the lowest polymorph of the same formula	0.0	meV per atom



Entry 7:
Material: Mg12AlTl6
Method: DFT, PBE
State: optimized geometry

Lattice parameters (Å, degrees): 8.4932 8.4932 8.4932 110.55 110.55 110.55
Sites, in units of the cell vectors:
Mg  0.0432  0.3009  0.1903
Mg  0.1903  0.0432  0.3009
Mg  0.2356  0.5924  0.6566
Mg  0.3009  0.1903  0.0432
Mg  0.3434  0.7644  0.4076
Mg  0.4076  0.3434  0.7644
Mg  0.5924  0.6566  0.2356
Mg  0.6566  0.2356  0.5924
Mg  0.6991  0.8097  0.9568
Mg  0.7644  0.4076  0.3434
Mg  0.8097  0.9568  0.6991
Mg  0.9568  0.6991  0.8097
Al  0.5000  0.5000  0.5000
Tl  0.0950  0.8766  0.5828
Tl  0.1234  0.4172  0.9050
Tl  0.4172  0.9050  0.1234
Tl  0.5828  0.0950  0.8766
Tl  0.8766  0.5828  0.0950
Tl  0.9050  0.1234  0.4172



Entry 8:
Material: MgAlTl
Method: DFT, PBE
State: optimized geometry

Lattice parameters (Å, degrees): 3.3813 4.9025 8.9963 101.84 90.15 90.00
Sites, in units of the cell vectors:
Mg  0.2484  0.3754  0.3429
Mg  0.7516  0.6246  0.6571
Al  0.2507  0.1120  0.6176
Al  0.7493  0.8880  0.3824
Tl  0.2491  0.7828  0.0861
Tl  0.7509  0.2172  0.9139



Entry 9:
Material: Mg9AlTl2
Method: DFT, PBE
State: optimized geometry

Lattice parameters (Å, degrees): 4.4706 4.4706 13.4508 90.00 90.00 90.00
Sites, in units of the cell vectors:
Mg  0.0000  0.0000  0.0000
Mg  0.0000  0.0000  0.3289
Mg  0.0000  0.0000  0.6711
Mg  0.0000  0.5000  0.1564
Mg  0.0000  0.5000  0.5000
Mg  0.0000  0.5000  0.8436
Mg  0.5000  0.0000  0.1564
Mg  0.5000  0.0000  0.5000
Mg  0.5000  0.0000  0.8436
Al  0.5000  0.5000  0.0000
Tl  0.5000  0.5000  0.3293
Tl  0.5000  0.5000  0.6707



Entry 10:
Material: Mg5AlTl2
Method: DFT, PBE
State: optimized geometry

Lattice parameters (Å, degrees): 6.2691 6.2691 6.2691 117.03 97.47 114.56
Sites, in units of the cell vectors:
Mg  0.0000  0.0000  0.0000
Mg  0.4897  0.4817  0.5122
Mg  0.4897  0.9775  0.0079
Mg  0.9696  0.4817  0.9921
Mg  0.9696  0.9775  0.4878
Al  0.4640  0.4640  0.0000
Tl  0.4726  0.9726  0.5000
Tl  0.9865  0.4865  0.5000

## Properties
distance to the lowest polymorph of the same formula	12.9	meV per atom



Entry 11:
Material: Mg15AlTl4
Method: DFT, PBE
State: optimized geometry

Lattice parameters (Å, degrees): 4.5398 4.5398 22.0382 90.00 90.00 90.00
Sites, in units of the cell vectors:
Mg  0.0000  0.0000  0.0000
Mg  0.0000  0.0000  0.1961
Mg  0.0000  0.0000  0.3990
Mg  0.0000  0.0000  0.6010
Mg  0.0000  0.0000  0.8039
Mg  0.0000  0.5000  0.0935
Mg  0.0000  0.5000  0.2976
Mg  0.0000  0.5000  0.5000
Mg  0.0000  0.5000  0.7024
Mg  0.0000  0.5000  0.9065
Mg  0.5000  0.0000  0.0935
Mg  0.5000  0.0000  0.2976
Mg  0.5000  0.0000  0.5000
Mg  0.5000  0.0000  0.7024
Mg  0.5000  0.0000  0.9065
Al  0.5000  0.5000  0.0000
Tl  0.5000  0.5000  0.1967
Tl  0.5000  0.5000  0.3988
Tl  0.5000  0.5000  0.6012
Tl  0.5000  0.5000  0.8033



Entry 12:
Material: MgAlTl4
Method: DFT, PBE
State: optimized geometry

Lattice parameters (Å, degrees): 6.3603 6.3603 6.3603 60.00 60.00 60.00
Sites, in units of the cell vectors:
Mg  0.0000  0.0000  0.0000
Al  0.2500  0.2500  0.2500
Tl  0.1254  0.6249  0.6249
Tl  0.6249  0.1254  0.6249
Tl  0.6249  0.6249  0.1254
Tl  0.6249  0.6249  0.6249



| no. | ΔE_f (eV per atom) |
| --- | --- |
| 1 | -0.01 |
| 2 | 0.03 |
| 3 | 0.15 |
| 4 | 0.32 |
| 5 | 0.11 |
| 6 | -0.02 |
| 7 | 0.00 |
| 8 | 0.13 |
| 9 | -0.03 |
| 10 | 0.02 |
| 11 | -0.02 |
| 12 | 0.34 |